The following is a GGA-PBE calculation of a relaxed structure of NdB2Pd6, from Alexandria via LeMat-Bulk.

DFT total energy	-5.963	eV/atom
spin magnetization	0.000	μB/cell
space group	P6/mmm (191)

Cell: 5.6246 5.6246 5.5236 Å, 90.00 90.00 120.00°
Positions (direct):
Nd 0.0000 0.0000 0.0000
B 0.3333 0.6667 0.5000
B 0.6667 0.3333 0.5000
Pd 0.4998 0.0000 0.2484
Pd 0.5002 0.5002 0.2484
Pd 0.0000 0.4998 0.2484
Pd 0.4998 0.4998 0.7516
Pd 0.0000 0.5002 0.7516
Pd 0.5002 0.0000 0.7516

=====

The following is a GGA-PBE calculation of a relaxed structure of La2PrNd3Y6, from Alexandria via LeMat-Bulk.

DFT total energy	-5.636	eV/atom
spin magnetization	0.000	μB/cell
space group	C2/m (12)

Cell: 6.3266 6.3266 11.9263 Å, 95.06 95.06 120.00°
Positions (direct):
La 0.3335 0.6665 0.0000
La 0.6665 0.3335 0.0000
Pr 0.0000 0.0000 0.0000
Nd 0.1665 0.8335 0.5000
Nd 0.8335 0.1665 0.5000
Nd 0.5000 0.5000 0.5000
Y 0.9161 0.5832 0.7484
Y 0.7512 0.7512 0.2517
Y 0.0839 0.4168 0.2516
Y 0.5832 0.9161 0.7484
Y 0.2488 0.2488 0.7483
Y 0.4168 0.0839 0.2516

=====

The following is a GGA-PBE calculation of a relaxed structure of HfMnTc3, from Alexandria via LeMat-Bulk.

DFT total energy	-7.741	eV/atom
spin magnetization	0.084	μB/cell
space group	Pm-3m (221)
energy above the most stable polymorph in this dataset	1.6468	eV per atom

Cell: 4.6641 4.6641 4.6641 Å, 90.00 90.00 90.00°
Positions (direct):
Mn 0.5000 0.5000 0.5000
Hf 0.0000 0.0000 0.0000
Tc 0.0000 0.5000 0.0000
Tc 0.0000 0.0000 0.5000
Tc 0.5000 0.0000 0.0000

=====

The following is a GGA-PBE calculation of a relaxed structure of Ca5GeBr12, from Alexandria via LeMat-Bulk.

DFT total energy	-3.724	eV/atom
spin magnetization	0.000	μB/cell
space group	C2/m (12)
E_form (uncorrected)	-1795.8	meV/atom

Cell: 7.3700 7.3752 14.2676 Å, 89.98 89.96 60.02°
Positions (direct):
Ca 0.5000 0.0000 0.5000
Ca 0.1667 0.6666 0.5000
Ca 0.8333 0.3334 0.5000
Ca 0.6667 0.6666 0.0000
Ca 0.3333 0.3334 0.0000
Ge 0.0000 0.0000 0.0000
Br 0.8335 0.0000 0.3896
Br 0.1665 0.0000 0.6104
Br 0.6742 0.0000 0.8914
Br 0.3258 0.0000 0.1086
Br 0.3260 0.6741 0.8913
Br 0.9999 0.6741 0.1087
Br 0.0001 0.3259 0.8913
Br 0.6740 0.3259 0.1087
Br 0.4997 0.3334 0.6106
Br 0.8331 0.6666 0.6106
Br 0.1669 0.3335 0.3894
Br 0.5003 0.6666 0.3894

=====

The following is a GGA-PBE calculation of a relaxed structure of NbGa, from Alexandria via LeMat-Bulk.

DFT total energy	-6.764	eV/atom
spin magnetization	0.000	μB/cell
space group	Pmn2_1 (31)

Cell: 14.2698 2.8603 4.9502 Å, 90.00 90.00 90.00°
Positions (direct):
Nb 0.8236 0.0655 0.3250
Nb 0.6764 0.9345 0.8250
Nb 0.1764 0.0655 0.3250
Nb 0.3236 0.9345 0.8250
Nb 0.0000 0.9063 0.5967
Nb 0.5000 0.0937 0.0967
Ga 0.8451 0.4831 0.8192
Ga 0.6549 0.5169 0.3192
Ga 0.1549 0.4831 0.8192
Ga 0.3451 0.5169 0.3192
Ga 0.0000 0.4363 0.1167
Ga 0.5000 0.5637 0.6167

=====

The following is a GGA-PBE calculation of a relaxed structure of HgTeCl2, from Alexandria via LeMat-Bulk.

DFT total energy	-1.545	eV/atom
spin magnetization	1.631	μB/cell
space group	Fm-3m (225)
energy above the most stable polymorph in this dataset	0.5687	eV per atom
E_form (uncorrected)	238.7	meV/atom

Cell: 5.2609 5.2609 5.2609 Å, 60.00 60.00 60.00°
Positions (direct):
Te 0.5000 0.5000 0.5000
Hg 0.0000 0.0000 0.0000
Cl 0.2500 0.2500 0.2500
Cl 0.7500 0.7500 0.7500